Record 1
ZrFe2SbH | Alexandria | PBE | optimized geometry; V = 13.8 A^3/atom; crystal system = tetragonal; raw total energy = -33.610 eV/cell
1.0
-3.424 -1.911 -1.144
2.120 -2.154 -2.747
0.692 -2.938 2.838
Zr Sb H Fe
1 1 1 2
Cartesian
0.346 -1.469 1.419 Zr
-0.306 -3.502 -0.527 Sb
0.000 0.000 0.000 H
1.060 -1.077 -1.373 Fe
-1.712 -0.955 -0.572 Fe



Record 2
Al2SiAs | Alexandria | PBE | optimized geometry; V = 16.9 A^3/atom; raw formation energy = 0.25 eV/atom; distance to the lowest polymorph of the same formula = 0.255 eV per atom; crystal system = trigonal
1.0
-3.943 7.565 -4.752
-4.320 5.574 -6.755
-6.240 5.881 -4.673
Al Si As
2 1 1
Cartesian
-3.639 4.772 -4.059 Al
-14.479 18.988 -16.151 Al
-10.852 14.232 -12.106 Si
-7.290 9.560 -8.132 As



Record 3
Th4IrPt2S | Alexandria | PBE | optimized geometry; V = 25.8 A^3/atom; raw formation energy = -1.25 eV/atom; crystal system = monoclinic
1.0
4.122 0.000 0.000
0.000 7.250 -0.198
0.000 2.502 6.829
Th Pt S Ir
4 2 1 1
Cartesian
4.122 2.443 1.593 Th
2.061 3.737 5.106 Th
0.000 7.308 5.037 Th
2.061 6.015 1.525 Th
0.000 2.502 6.829 Pt
2.061 1.251 3.414 Pt
0.000 4.876 3.315 S
2.061 3.625 -0.099 Ir



Record 4
Zr2Br | Alexandria | PBE | optimized geometry; V = 23.4 A^3/atom; raw formation energy = -0.30 eV/atom; distance to the lowest polymorph of the same formula = 0.042 eV per atom; crystal system = trigonal
1.0
3.410 0.000 0.000
-1.705 2.953 0.000
0.000 0.000 6.979
Zr Br
2 1
Cartesian
0.000 1.969 2.345 Zr
1.705 0.984 4.634 Zr
0.000 0.000 0.000 Br



Record 5
Y3ScAl4 | Alexandria | PBE | optimized geometry; V = 22.4 A^3/atom; calculated formation energy = -422 meV per atom; crystal system = tetragonal
1.0
3.539 0.000 0.000
0.000 3.539 0.000
0.000 0.000 14.290
Y Al Sc
3 4 1
Cartesian
1.770 1.770 10.853 Y
1.770 1.770 7.145 Y
1.770 1.770 3.436 Y
0.000 0.000 5.287 Al
0.000 0.000 12.744 Al
0.000 0.000 1.546 Al
0.000 0.000 9.003 Al
1.770 1.770 0.000 Sc



Record 6
LaZrW | Alexandria | PBE | optimized geometry; V = 25.9 A^3/atom; calculated formation energy = 651 meV per atom; distance to the lowest polymorph of the same formula = 0.254 eV per atom; crystal system = cubic
1.0
-1.808 -0.860 4.352
-4.284 -2.097 0.442
-0.310 -4.498 1.619
Zr W La
1 1 1
Cartesian
0.000 0.000 0.000 Zr
-4.802 -5.591 4.809 W
-3.201 -3.727 3.206 La